(1)
DFT (GGA-PBEsol) results for an optimized crystal structure of Cd2InPb.

Cell lengths 11.0752, 3.3029, 5.5307 Å; angles 90.00, 104.82, 90.00 degrees
Fractional coordinates of all 8 atoms:
Cd (0.0000, 0.0000, 0.0000)
Cd (0.2285, 0.5000, 0.2642)
Cd (0.5000, 0.5000, 0.0000)
Cd (0.7285, 0.0000, 0.2642)
In (0.4776, 0.0000, 0.4804)
In (0.9776, 0.5000, 0.4804)
Pb (0.2455, 0.0000, 0.7720)
Pb (0.7455, 0.5000, 0.7720)

Symmetry: Cm, No. 8
ΔH_f (0 K) (kJ/mol of formula units): 22
Distance to the lowest polymorph of the same formula (meV per atom): 19.9

(2)
DFT (GGA-PBEsol) results for an optimized crystal structure of AlAuO2.

Cell lengths 2.8973, 2.8973, 18.2636 Å; angles 90.00, 90.00, 120.00 degrees
Fractional coordinates of all 12 atoms:
Al (0.0000, 0.0000, 0.0000)
Al (0.3333, 0.6667, 0.6667)
Al (0.6667, 0.3333, 0.3333)
Au (0.0000, 0.0000, 0.5000)
Au (0.3333, 0.6667, 0.1667)
Au (0.6667, 0.3333, 0.8333)
O (0.0000, 0.0000, 0.3851)
O (0.0000, 0.0000, 0.6149)
O (0.3333, 0.6667, 0.0518)
O (0.3333, 0.6667, 0.2815)
O (0.6667, 0.3333, 0.7185)
O (0.6667, 0.3333, 0.9482)

Symmetry: R-3m, No. 166
ΔE_f (raw) (meV/atom): -1919

(3)
DFT (GGA-PBEsol) results for an optimized crystal structure of Tl2PbBr.

Cell lengths 3.5704, 5.1411, 6.3390 Å; angles 90.00, 90.19, 90.00 degrees
Fractional coordinates of all 4 atoms:
Tl (0.0048, 0.0000, 0.2528)
Tl (0.9952, 0.0000, 0.7472)
Pb (0.5000, 0.5000, 0.0000)
Br (0.5000, 0.5000, 0.5000)

Symmetry: P2/m, No. 10
ΔE_f (raw) (meV/atom): -212
Distance to the lowest polymorph of the same formula (meV per atom): 0.0

(4)
DFT (GGA-PBEsol) results for an optimized crystal structure of YZrAl2.

Cell lengths 6.9024, 6.9024, 6.9024 Å; angles 90.00, 90.00, 90.00 degrees
Fractional coordinates of all 16 atoms:
Y (0.0000, 0.0000, 0.0000)
Y (0.0000, 0.5000, 0.5000)
Y (0.5000, 0.0000, 0.5000)
Y (0.5000, 0.5000, 0.0000)
Zr (0.0000, 0.0000, 0.5000)
Zr (0.0000, 0.5000, 0.0000)
Zr (0.5000, 0.0000, 0.0000)
Zr (0.5000, 0.5000, 0.5000)
Al (0.2500, 0.2500, 0.2500)
Al (0.2500, 0.2500, 0.7500)
Al (0.2500, 0.7500, 0.2500)
Al (0.2500, 0.7500, 0.7500)
Al (0.7500, 0.2500, 0.2500)
Al (0.7500, 0.2500, 0.7500)
Al (0.7500, 0.7500, 0.2500)
Al (0.7500, 0.7500, 0.7500)

Symmetry: Fm-3m, No. 225
ΔH_f (0 K) (kJ/mol of formula units): -122
Distance to the lowest polymorph of the same formula (meV per atom): 86.4

(5)
DFT (GGA-PBEsol) results for an optimized crystal structure of RbCuRe2P.

Cell lengths 4.6919, 4.6919, 4.8406 Å; angles 90.00, 90.00, 90.00 degrees
Fractional coordinates of all 5 atoms:
Rb (0.0000, 0.0000, 0.0000)
Cu (0.5000, 0.5000, 0.5000)
Re (0.0000, 0.5000, 0.0000)
Re (0.5000, 0.0000, 0.0000)
P (0.0000, 0.0000, 0.5000)

Symmetry: P4/mmm, No. 123
ΔH_f (0 K) (kJ/mol of formula units): 1931

(6)
DFT (GGA-PBEsol) results for an optimized crystal structure of TiFe3Bi3PbO12.

Cell lengths 5.3121, 6.0092, 9.5246 Å; angles 82.91, 74.31, 65.38 degrees
Fractional coordinates of all 20 atoms:
Ti (0.0000, 0.0000, 0.0000)
Fe (0.0107, 0.4794, 0.4992)
Fe (0.5117, 0.2435, 0.7424)
Fe (0.5240, 0.7361, 0.2337)
Bi (0.3179, 0.8141, 0.5969)
Bi (0.8176, 0.5508, 0.8616)
Bi (0.8302, 0.0411, 0.3664)
Pb (0.2913, 0.3328, 0.1166)
O (0.1656, 0.1787, 0.4179)
O (0.1692, 0.7232, 0.9032)
O (0.1859, 0.4801, 0.6575)
O (0.1930, 0.2176, 0.8996)
O (0.1959, 0.9564, 0.1521)
O (0.1997, 0.7070, 0.4016)
O (0.6792, 0.4868, 0.6591)
O (0.6837, 0.9774, 0.6246)
O (0.6955, 0.7113, 0.4026)
O (0.6968, 0.9667, 0.1512)
O (0.7041, 0.2175, 0.8977)
O (0.7193, 0.4595, 0.1266)

Symmetry: P1, No. 1
ΔE_f (raw) (meV/atom): -1472

(7)
DFT (GGA-PBEsol) results for an optimized crystal structure of CaSmIn2.

Cell lengths 7.5422, 7.5422, 7.5422 Å; angles 90.00, 90.00, 90.00 degrees
Fractional coordinates of all 16 atoms:
Ca (0.0000, 0.0000, 0.0000)
Ca (0.0000, 0.5000, 0.5000)
Ca (0.5000, 0.0000, 0.5000)
Ca (0.5000, 0.5000, 0.0000)
Sm (0.0000, 0.0000, 0.5000)
Sm (0.0000, 0.5000, 0.0000)
Sm (0.5000, 0.0000, 0.0000)
Sm (0.5000, 0.5000, 0.5000)
In (0.2500, 0.2500, 0.2500)
In (0.2500, 0.2500, 0.7500)
In (0.2500, 0.7500, 0.2500)
In (0.2500, 0.7500, 0.7500)
In (0.7500, 0.2500, 0.2500)
In (0.7500, 0.2500, 0.7500)
In (0.7500, 0.7500, 0.2500)
In (0.7500, 0.7500, 0.7500)

Symmetry: Fm-3m, No. 225
ΔH_f (0 K) (kJ/mol of formula units): -195

(8)
DFT (GGA-PBEsol) results for an optimized crystal structure of Ca2Al3O6F.

Cell lengths 6.9696, 10.2088, 10.2309 Å; angles 114.95, 102.63, 103.49 degrees
Fractional coordinates of all 48 atoms:
Ca (0.1379, 0.3536, 0.3267)
Ca (0.2099, 0.3721, 0.9707)
Ca (0.2266, 0.0106, 0.0091)
Ca (0.2393, 0.0346, 0.4019)
Ca (0.7607, 0.9654, 0.5981)
Ca (0.7734, 0.9894, 0.9909)
Ca (0.7901, 0.6279, 0.0293)
Ca (0.8621, 0.6464, 0.6733)
Al (0.0045, 0.7602, 0.4532)
Al (0.2413, 0.6898, 0.2378)
Al (0.3454, 0.7329, 0.6793)
Al (0.3484, 0.6821, 0.9523)
Al (0.3880, 0.0514, 0.7258)
Al (0.4570, 0.4601, 0.6902)
Al (0.5430, 0.5399, 0.3098)
Al (0.6120, 0.9486, 0.2742)
Al (0.6516, 0.3179, 0.0477)
Al (0.6546, 0.2671, 0.3207)
Al (0.7587, 0.3102, 0.7622)
Al (0.9955, 0.2398, 0.5468)
O (0.0301, 0.7437, 0.2800)
O (0.1142, 0.6525, 0.5196)
O (0.1342, 0.9600, 0.5862)
O (0.1805, 0.6324, 0.0416)
O (0.2480, 0.7548, 0.8339)
O (0.2513, 0.2898, 0.5385)
O (0.2818, 0.5353, 0.2573)
O (0.3986, 0.1726, 0.9136)
O (0.4069, 0.5142, 0.8633)
O (0.4637, 0.8616, 0.3551)
O (0.4837, 0.0758, 0.2559)
O (0.4940, 0.6146, 0.6521)
O (0.5060, 0.3854, 0.3479)
O (0.5163, 0.9242, 0.7441)
O (0.5363, 0.1384, 0.6449)
O (0.5931, 0.4858, 0.1367)
O (0.6014, 0.8274, 0.0864)
O (0.7182, 0.4647, 0.7427)
O (0.7487, 0.7102, 0.4615)
O (0.7520, 0.2452, 0.1661)
O (0.8195, 0.3676, 0.9584)
O (0.8658, 0.0400, 0.4138)
O (0.8858, 0.3475, 0.4804)
O (0.9699, 0.2563, 0.7200)
F (0.0698, 0.0790, 0.2094)
F (0.0773, 0.1980, 0.0441)
F (0.9227, 0.8020, 0.9559)
F (0.9302, 0.9210, 0.7906)

Symmetry: P-1, No. 2
ΔE_f (raw) (meV/atom): -3170